Here is an optimized crystal structure of Ba2MoO4 from the Alexandria database. Energies are from PBE with a Hubbard U.

```
Ba2MoO4
1.0
-3.0120 -3.6349 -3.4617
4.0213 -4.1967 0.6964
-7.2891 -0.7852 12.2230
Ba O Mo
8 16 4
Direct
0.9262 0.4262 0.8524
0.5738 0.0738 0.1475
0.0732 0.5732 0.1463
0.3238 0.3238 0.6475
0.6762 0.6762 0.3524
0.8231 0.8231 0.6463
0.4268 0.9269 0.8537
0.1769 0.1768 0.3537
0.4994 0.5006 0.5000
0.6707 0.1707 0.3415
0.9238 0.9239 0.8477
0.1738 0.6738 0.3477
0.2494 0.7506 0.0000
0.7449 0.7450 0.0000
0.9950 0.4949 0.4999
0.8293 0.3293 0.6585
0.7506 0.2494 0.0000
0.5050 0.0051 0.5000
0.5793 0.5793 0.1585
0.2551 0.2550 0.0000
0.0762 0.0762 0.1523
0.0006 0.9994 0.5000
0.3262 0.8262 0.6523
0.4207 0.4207 0.8415
0.2500 0.7500 0.5000
0.7500 0.2500 0.5000
0.5000 0.5000 0.0000
0.0000 0.0000 0.0000
```

Its total energy is -6.76 eV/atom.